# Ba2LiCd6

A geometry-optimized Ba2LiCd6 structure (PBE-GGA, Alexandria).

As for the magnetization: 0.000 Bohr magnetons per cell. The value obtained for the total DFT energy (no corrections) is -13.40 eV for the cell shown. The formation energy is -239 meV/atom.

abc: 6.7136 6.7136 6.7905
angles: 90.00 90.00 120.00
With the nearest neighbours (Å) after each atom.
Space group P-3m1 (No. 164)
Inequivalent atoms, fractional coordinates:
Ba 0.3333 0.6667 0.1510  12 Cd 3.58-3.98
Li 0.0000 0.0000 0.0000  6 Cd 3.02
Cd 0.1727 0.3455 0.6682  1 Li 3.02, 4 Cd 3.04-3.23